(1)
{
  "formula": "NaBAs2",
  "functional": "GGA-PBEsol",
  "state": "relaxed",
  "lattice_angstrom": [[-2.8263, 3.1434, 3.2075], [-2.8534, -4.1834, 1.5856], [6.7580, -0.4745, 2.0306]],
  "species": ["Na", "As", "B", "As", "As", "B", "Na", "As"],
  "frac_coords": [[0.2500, 0.7500, 0.5000], [0.6250, 0.4761, 0.7500], [0.5000, 0.5000, 0.0000], [0.7261, 0.3750, 0.2500], [0.5239, 0.8750, 0.2500], [0.7500, 0.2500, 0.5000], [0.0000, 0.0000, 0.0000], [0.1250, 0.2739, 0.7500]],
  "delta_e_f_mev_per_atom": 259,
  "dos_at_fermi_per_ev_cell": 1.7
}

=====

(2)
{
  "formula": "TbAlCu4",
  "functional": "GGA-PBEsol",
  "state": "relaxed",
  "lattice_angstrom": [[-3.0903, 2.5089, 0.2595], [-1.2752, -1.0739, -4.8043], [-1.9187, -2.7582, 3.8172]],
  "species": ["Cu", "Tb", "Cu", "Cu", "Cu", "Al"],
  "frac_coords": [[0.5000, 0.4990, 0.5010], [0.0000, 0.0000, 0.0000], [0.5000, 0.4990, 0.9979], [0.0000, 0.3333, 0.6667], [0.5000, 0.0021, 0.5010], [0.0000, 0.6667, 0.3333]],
  "delta_e_f_mev_per_atom": -244,
  "dos_at_fermi_per_ev_cell": 3.6
}

=====

(3)
{
  "formula": "YPbS2",
  "functional": "GGA-PBEsol",
  "state": "relaxed",
  "lattice_angstrom": [[-0.9992, 2.1413, -3.4207], [-1.9591, -1.8942, -3.1399], [-8.2285, 2.0374, 1.1525]],
  "species": ["S", "S", "Pb", "Y"],
  "frac_coords": [[0.1018, 0.1018, 0.6947], [0.8982, 0.8982, 0.3053], [0.5000, 0.5000, 0.5000], [0.0000, 0.0000, 0.0000]],
  "raw_formation_energy_ev_per_atom": -0.567,
  "dos_at_fermi_per_ev_cell": 2.3
}

=====

(4)
{
  "formula": "K2MnTlPt",
  "functional": "GGA-PBEsol",
  "state": "relaxed",
  "lattice_angstrom": [[4.6676, 0.0000, 0.0000], [0.0000, 6.0780, 0.0000], [0.0000, 0.0000, 6.0780]],
  "species": ["Mn", "K", "Tl", "K", "Pt"],
  "frac_coords": [[0.0000, 0.0000, 0.0000], [0.0000, 0.5000, 0.0000], [0.5000, 0.5000, 0.5000], [0.0000, 0.0000, 0.5000], [0.5000, 0.0000, 0.0000]],
  "delta_e_f_mev_per_atom": 686,
  "dos_at_fermi_per_ev_cell": 3.9
}

=====

(5)
{
  "formula": "HRuBr2O",
  "functional": "GGA-PBEsol",
  "state": "relaxed",
  "lattice_angstrom": [[2.8015, 0.0000, 0.0000], [0.0000, 4.8403, 0.0000], [0.0000, 0.0000, 4.8403]],
  "species": ["Ru", "H", "Br", "O", "Br"],
  "frac_coords": [[0.5000, 0.5000, 0.5000], [0.5000, 0.0000, 0.0000], [0.0000, 0.5000, 0.0000], [0.0000, 0.0000, 0.0000], [0.0000, 0.0000, 0.5000]],
  "e_tot_ev_per_atom": -3.844,
  "dos_at_fermi_per_ev_cell": 4.2
}

=====

(6)
{
  "formula": "CrAsRu2",
  "functional": "GGA-PBEsol",
  "state": "relaxed",
  "lattice_angstrom": [[2.7093, 0.0072, 0.0000], [-1.2290, 2.4146, 0.0000], [0.0000, 0.0000, 8.3641]],
  "species": ["Ru", "Ru", "As", "Cr"],
  "frac_coords": [[0.0000, 0.0000, 0.2379], [0.0000, 0.0000, 0.7621], [0.5000, 0.5000, 0.5000], [0.5000, 0.5000, 0.0000]],
  "delta_e_f_mev_per_atom": 423,
  "dos_at_fermi_per_ev_cell": 5.0
}

=====

(7)
{
  "formula": "Mg2TcHg",
  "functional": "GGA-PBEsol",
  "state": "relaxed",
  "lattice_angstrom": [[4.5681, 0.0000, 0.0000], [2.2840, 3.9561, 0.0000], [2.2840, 1.3187, 3.7298]],
  "species": ["Hg", "Tc", "Mg", "Mg"],
  "frac_coords": [[0.0000, 0.0000, 0.0000], [0.5000, 0.5000, 0.5000], [0.7500, 0.7500, 0.7500], [0.2500, 0.2500, 0.2500]],
  "delta_e_f_mev_per_atom": 253,
  "dos_at_fermi_per_ev_cell": 3.7
}

=====

(8)
{
  "formula": "ZnRe3Sb",
  "functional": "GGA-PBEsol",
  "state": "relaxed",
  "lattice_angstrom": [[4.4998, 0.0000, 0.0000], [0.0000, 4.4998, 0.0000], [0.0000, 0.0000, 4.4998]],
  "species": ["Re", "Zn", "Re", "Re", "Sb"],
  "frac_coords": [[0.5000, 0.0000, 0.0000], [0.0000, 0.0000, 0.0000], [0.0000, 0.5000, 0.0000], [0.0000, 0.0000, 0.5000], [0.5000, 0.5000, 0.5000]],
  "raw_formation_energy_ev_per_atom": 2.058,
  "dos_at_fermi_per_ev_cell": 5.8
}

=====

(9)
{
  "formula": "TlSnPCl2",
  "functional": "GGA-PBEsol",
  "state": "relaxed",
  "lattice_angstrom": [[-4.1391, 2.7697, 1.1384], [-2.1942, -4.2062, 2.2557], [2.1602, 1.3387, 4.5974]],
  "species": ["P", "Sn", "Tl", "Cl", "Cl"],
  "frac_coords": [[0.5000, 0.0000, 0.0000], [0.0000, 0.0000, 0.0000], [0.5000, 0.5000, 0.5000], [0.0000, 0.5000, 0.0000], [0.0000, 0.0000, 0.5000]],
  "raw_formation_energy_ev_per_atom": -0.194,
  "dos_at_fermi_per_ev_cell": 3.4
}

=====

(10)
{
  "formula": "LaTaSnBr2",
  "functional": "GGA-PBEsol",
  "state": "relaxed",
  "lattice_angstrom": [[5.3755, 0.0000, 0.0000], [0.0000, 5.3755, 0.0000], [0.0000, 0.0000, 6.3809]],
  "species": ["Br", "La", "Sn", "Ta", "Br"],
  "frac_coords": [[0.0000, 0.5000, 0.0000], [0.0000, 0.0000, 0.5000], [0.0000, 0.0000, 0.0000], [0.5000, 0.5000, 0.5000], [0.5000, 0.0000, 0.0000]],
  "raw_formation_energy_ev_per_atom": 1.056,
  "dos_at_fermi_per_ev_cell": 8.9
}

=====

(11)
{
  "formula": "Cd2GaAgSe4",
  "functional": "GGA-PBEsol",
  "state": "relaxed",
  "lattice_angstrom": [[-3.8408, -1.0683, -1.2251], [-0.3262, -4.9610, 5.3486], [-0.5914, 7.5511, 2.3685]],
  "species": ["Ga", "Ag", "Se", "Cd", "Se", "Se", "Se", "Cd"],
  "frac_coords": [[0.7484, 0.3918, 0.4969], [0.2562, 0.9311, 0.5123], [0.8184, 0.1585, 0.6368], [0.4867, 0.8135, 0.9735], [0.2941, 0.6118, 0.5883], [0.5705, 0.2282, 0.1411], [0.0680, 0.7509, 0.1360], [0.0087, 0.3642, 0.0175]],
  "raw_formation_energy_ev_per_atom": -0.446,
  "dos_at_fermi_per_ev_cell": 0.5
}

=====

(12)
{
  "formula": "ScCd2",
  "functional": "GGA-PBEsol",
  "state": "relaxed",
  "lattice_angstrom": [[-4.8649, 2.0471, 1.9654], [-3.0326, -2.9943, 3.6822], [-0.3855, 1.6852, 5.3602]],
  "species": ["Cd", "Sc", "Cd", "Cd", "Cd", "Sc"],
  "frac_coords": [[0.1250, 0.1250, 0.1250], [0.5000, 0.5000, 0.5000], [0.1250, 0.1250, 0.6250], [0.6250, 0.1250, 0.1250], [0.1250, 0.6250, 0.1250], [0.7500, 0.7500, 0.7500]],
  "delta_e_f_mev_per_atom": -202,
  "dos_at_fermi_per_ev_cell": 6.1
}

=====

(13)
{
  "formula": "Ac",
  "functional": "GGA-PBEsol",
  "state": "relaxed",
  "lattice_angstrom": [[-1.9317, -3.3735, 0.3903], [1.0650, -2.5530, 2.7591], [-2.2945, -0.5890, 3.1068]],
  "species": ["Ac"],
  "frac_coords": [[0.0000, 0.0000, 0.0000]],
  "delta_e_f_mev_per_atom": 12,
  "dos_at_fermi_per_ev_cell": 2.0
}

=====

(14)
{
  "formula": "Be2PRh",
  "functional": "GGA-PBEsol",
  "state": "relaxed",
  "lattice_angstrom": [[2.7898, 0.0000, 0.0000], [0.0000, 3.2071, 0.0000], [0.0000, 0.0000, 4.7348]],
  "species": ["Rh", "P", "Be", "Be"],
  "frac_coords": [[0.5000, 0.5000, 0.7514], [0.0000, 0.0000, 0.4833], [0.5000, 0.5000, 0.2440], [0.0000, 0.0000, 0.0214]],
  "delta_e_f_mev_per_atom": -255,
  "dos_at_fermi_per_ev_cell": 1.6
}

=====

(15)
{
  "formula": "BaNi2As2",
  "functional": "GGA-PBEsol",
  "state": "relaxed",
  "lattice_angstrom": [[4.0734, 0.0000, 0.0000], [0.0000, 4.0734, 0.0000], [-2.0367, -2.0367, 5.8386]],
  "species": ["Ni", "Ni", "Ba", "As", "As"],
  "frac_coords": [[0.2500, 0.7500, 0.5000], [0.7500, 0.2500, 0.5000], [0.0000, 0.0000, 0.0000], [0.3474, 0.3474, 0.6949], [0.6526, 0.6526, 0.3051]],
  "delta_e_f_mev_per_atom": -677,
  "dos_at_fermi_per_ev_cell": 3.9
}

=====

(16)
{
  "formula": "MnFeP2",
  "functional": "GGA-PBEsol",
  "state": "relaxed",
  "lattice_angstrom": [[-0.9970, 0.3683, 2.7528], [3.8571, -2.9448, 1.7909], [3.3098, 4.6831, 0.5722]],
  "species": ["P", "Fe", "Fe", "Mn", "P", "P", "Mn", "P"],
  "frac_coords": [[0.0000, 0.8112, 0.1851], [0.5000, 0.0024, 0.9502], [0.5000, 0.5024, 0.0498], [0.0000, 0.4966, 0.4484], [0.5000, 0.6898, 0.6877], [0.5000, 0.1898, 0.3123], [0.0000, 0.9966, 0.5516], [0.0000, 0.3112, 0.8149]],
  "delta_e_f_mev_per_atom": -707,
  "dos_at_fermi_per_ev_cell": 5.8
}

=====

(17)
{
  "formula": "Ca3AlH",
  "functional": "GGA-PBEsol",
  "state": "relaxed",
  "lattice_angstrom": [[4.8766, 0.0000, 0.0000], [0.0000, 4.8766, 0.0000], [0.0000, 0.0000, 4.8766]],
  "species": ["Al", "Ca", "Ca", "Ca", "H"],
  "frac_coords": [[0.5000, 0.5000, 0.5000], [0.5000, 0.0000, 0.0000], [0.0000, 0.5000, 0.0000], [0.0000, 0.0000, 0.5000], [0.0000, 0.0000, 0.0000]],
  "e_tot_ev_per_atom": -2.998,
  "dos_at_fermi_per_ev_cell": 4.2
}

=====

(18)
{
  "formula": "ZrBiBr2",
  "functional": "GGA-PBEsol",
  "state": "relaxed",
  "lattice_angstrom": [[-3.2104, -4.6269, 1.2344], [0.0024, -4.9523, -5.0930], [3.5424, -5.1490, 3.3769]],
  "species": ["Bi", "Br", "Zr", "Br", "Br", "Br", "Zr", "Bi"],
  "frac_coords": [[0.7500, 0.5000, 0.5000], [0.2423, 0.3827, 0.8827], [0.2500, 0.5000, 0.5000], [0.3750, 0.1173, 0.3827], [0.8750, 0.8827, 0.6173], [0.5077, 0.6173, 0.1173], [0.5000, 0.0000, 0.0000], [0.0000, 0.0000, 0.0000]],
  "raw_formation_energy_ev_per_atom": -0.416,
  "dos_at_fermi_per_ev_cell": 10.1
}

=====

(19)
{
  "formula": "Li3HgPd",
  "functional": "GGA-PBEsol",
  "state": "relaxed",
  "lattice_angstrom": [[-0.9566, -2.0702, -4.0618], [3.1616, -3.2913, 0.9329], [-3.2845, -2.5653, 2.0810]],
  "species": ["Li", "Li", "Pd", "Li", "Hg"],
  "frac_coords": [[0.0000, 0.5000, 0.0000], [0.0000, 0.0000, 0.5000], [0.0000, 0.0000, 0.0000], [0.5000, 0.0000, 0.0000], [0.5000, 0.5000, 0.5000]],
  "delta_e_f_mev_per_atom": -18,
  "dos_at_fermi_per_ev_cell": 1.9
}

=====

(20)
{
  "formula": "AlMoP4",
  "functional": "GGA-PBEsol",
  "state": "relaxed",
  "lattice_angstrom": [[-2.9082, -1.8287, 3.5156], [-0.7691, -4.8468, 0.2788], [1.9447, -2.5883, 3.6987]],
  "species": ["P", "P", "Mo", "P", "Al", "P"],
  "frac_coords": [[0.6257, 0.1229, 0.6257], [0.1229, 0.6257, 0.6257], [0.0000, 0.0000, 0.0000], [0.6257, 0.6257, 0.6257], [0.2500, 0.2500, 0.2500], [0.6257, 0.6257, 0.1229]],
  "delta_e_f_mev_per_atom": 560,
  "dos_at_fermi_per_ev_cell": 4.0
}

=====

(21)
{
  "formula": "BaCN2",
  "functional": "GGA-PBEsol",
  "state": "relaxed",
  "lattice_angstrom": [[-2.0981, 7.1739, -0.3941], [-6.6408, -4.7434, -3.6060], [1.1599, -1.7878, 8.6638]],
  "species": ["Ba", "N", "C", "N", "N", "Ba", "N", "Ba", "C", "N", "N", "N", "N", "C", "N", "Ba", "C", "N", "N", "N", "C", "Ba", "Ba", "C"],
  "frac_coords": [[0.7500, 0.7910, 0.2090], [0.8471, 0.2887, 0.4328], [0.4673, 0.4347, 0.2173], [0.5857, 0.4328, 0.1440], [0.3471, 0.4328, 0.2887], [0.0410, 0.5820, 0.7910], [0.0857, 0.1440, 0.4328], [0.2500, 0.2090, 0.7910], [0.7500, 0.2173, 0.7827], [0.5583, 0.1440, 0.7113], [0.4143, 0.5672, 0.8560], [0.6529, 0.5672, 0.7113], [0.1529, 0.7113, 0.5672], [0.2500, 0.7827, 0.2173], [0.0583, 0.7113, 0.1440], [0.5410, 0.7910, 0.5820], [0.5327, 0.5653, 0.7827], [0.9417, 0.2887, 0.8560], [0.9143, 0.8560, 0.5672], [0.4417, 0.8560, 0.2887], [0.0327, 0.7827, 0.5653], [0.9590, 0.4180, 0.2090], [0.4590, 0.2090, 0.4180], [0.9673, 0.2173, 0.4347]],
  "raw_formation_energy_ev_per_atom": -0.782,
  "dos_at_fermi_per_ev_cell": 0.0
}

=====

(22)
{
  "formula": "Li2Cd2As",
  "functional": "GGA-PBEsol",
  "state": "relaxed",
  "lattice_angstrom": [[3.0431, 0.0000, 0.0000], [0.0000, 7.7417, 0.0000], [0.0000, 0.0000, 7.7417]],
  "species": ["Cd", "Li", "As", "Li", "Cd", "Li", "Cd", "Cd", "Li", "As"],
  "frac_coords": [[0.0000, 0.8655, 0.6345], [0.5000, 0.6637, 0.8363], [0.0000, 0.5000, 0.5000], [0.5000, 0.8363, 0.3363], [0.0000, 0.6345, 0.1345], [0.5000, 0.3363, 0.1637], [0.0000, 0.1345, 0.3655], [0.0000, 0.3655, 0.8655], [0.5000, 0.1637, 0.6637], [0.0000, 0.0000, 0.0000]],
  "delta_e_f_mev_per_atom": -131,
  "dos_at_fermi_per_ev_cell": 3.2
}

=====

(23)
{
  "formula": "HfTa3H",
  "functional": "GGA-PBEsol",
  "state": "relaxed",
  "lattice_angstrom": [[4.2544, 0.0000, 0.0000], [0.0000, 4.2544, 0.0000], [0.0000, 0.0000, 4.2544]],
  "species": ["Ta", "H", "Hf", "Ta", "Ta"],
  "frac_coords": [[0.5000, 0.0000, 0.0000], [0.0000, 0.0000, 0.0000], [0.5000, 0.5000, 0.5000], [0.0000, 0.0000, 0.5000], [0.0000, 0.5000, 0.0000]],
  "e_tot_ev_per_atom": -10.171,
  "dos_at_fermi_per_ev_cell": 6.2
}

=====

(24)
{
  "formula": "ScCd2Se",
  "functional": "GGA-PBEsol",
  "state": "relaxed",
  "lattice_angstrom": [[-2.6223, 2.3004, -1.2889], [-3.3767, -1.3132, -0.8386], [-4.3556, 1.7297, 6.5843]],
  "species": ["Se", "Sc", "Cd", "Cd"],
  "frac_coords": [[0.0000, 0.0000, 0.0000], [0.5000, 0.5000, 0.5000], [0.7422, 0.7422, 0.7735], [0.2578, 0.2578, 0.2265]],
  "raw_formation_energy_ev_per_atom": -0.165,
  "dos_at_fermi_per_ev_cell": 2.2
}

=====

(25)
{
  "formula": "ZrNbO2F",
  "functional": "GGA-PBEsol",
  "state": "relaxed",
  "lattice_angstrom": [[-3.9521, 0.3682, -0.6242], [0.3168, -2.2349, -3.3241], [-0.6747, -3.4353, 2.2453]],
  "species": ["F", "O", "O", "Zr", "Nb"],
  "frac_coords": [[0.0000, 0.0000, 0.5000], [0.5000, 0.0000, 0.0000], [0.0000, 0.5000, 0.0000], [0.5000, 0.5000, 0.5000], [0.0000, 0.0000, 0.0000]],
  "raw_formation_energy_ev_per_atom": -1.532,
  "dos_at_fermi_per_ev_cell": 4.8
}

=====

(26)
{
  "formula": "NaLi3Au",
  "functional": "GGA-PBEsol",
  "state": "relaxed",
  "lattice_angstrom": [[4.9418, 0.0000, 0.0000], [0.0000, 4.9418, 0.0000], [0.0000, 0.0000, 4.9418]],
  "species": ["Au", "Li", "Na", "Li", "Li"],
  "frac_coords": [[0.0000, 0.0000, 0.0000], [0.5000, 0.0000, 0.0000], [0.5000, 0.5000, 0.5000], [0.0000, 0.5000, 0.0000], [0.0000, 0.0000, 0.5000]],
  "delta_e_f_mev_per_atom": -133,
  "dos_at_fermi_per_ev_cell": 2.5
}

=====

(27)
{
  "formula": "Nb3AlCu",
  "functional": "GGA-PBEsol",
  "state": "relaxed",
  "lattice_angstrom": [[-0.1827, -3.7396, -2.7393], [-0.4065, -2.7179, 3.7376], [-4.6177, 0.3872, -0.2207]],
  "species": ["Nb", "Al", "Nb", "Nb", "Cu"],
  "frac_coords": [[0.0000, 0.5000, 0.0000], [0.0000, 0.0000, 0.0000], [0.5000, 0.0000, 0.0000], [0.0000, 0.0000, 0.5000], [0.5000, 0.5000, 0.5000]],
  "delta_e_f_mev_per_atom": 1452,
  "dos_at_fermi_per_ev_cell": 6.8
}